(1)
Compound: KInH2
Source: the Alexandria database
Functional: PBE-GGA
Structure: optimized geometry

Output
For the distance to the lowest polymorph of the same formula, the calculation gives 183 meV/atom.

Cell: 7.2089 7.2089 7.2089 Å, 137.67 137.67 61.41°
Fractional positions:
K 0.0000 0.0000 0.0000
K 0.7500 0.2500 0.5000
In 0.2500 0.7500 0.5000
In 0.5000 0.5000 0.0000
H 0.2590 0.6250 0.1340
H 0.3750 0.5090 0.6340
H 0.4910 0.1250 0.8660
H 0.8750 0.7410 0.3660

---

(2)
Compound: Pm12Ni5Sn
Source: the Alexandria database
Functional: PBE-GGA
Structure: optimized geometry

Output
The calculation puts the formation energy at -0.30 eV per atom.

Cell: 8.5701 8.5701 8.5701 Å, 112.20 109.74 106.52°
Fractional positions:
Pm 0.0165 0.2059 0.8106
Pm 0.1820 0.3003 0.4823
Pm 0.1820 0.6997 0.8816
Pm 0.3220 0.0151 0.6931
Pm 0.3220 0.6290 0.3069
Pm 0.3953 0.2059 0.1894
Pm 0.6047 0.7941 0.8106
Pm 0.6780 0.3710 0.6931
Pm 0.6780 0.9849 0.3069
Pm 0.8180 0.3003 0.1184
Pm 0.8180 0.6997 0.5177
Pm 0.9835 0.7941 0.1894
Ni 0.0000 0.0000 0.0000
Ni 0.1233 0.6233 0.5000
Ni 0.3685 0.0000 0.3685
Ni 0.6315 0.0000 0.6315
Ni 0.8767 0.3767 0.5000
Sn 0.5000 0.5000 0.0000

---

(3)
Compound: ReBi3Cl
Source: the Alexandria database
Functional: PBE-GGA
Structure: optimized geometry

Output
For the distance to the lowest polymorph of the same formula, the calculation gives 0 meV/atom. The value obtained for the formation energy from raw total energies is 0.514 eV per atom.

Cell: 5.3748 5.3748 5.3748 Å, 90.00 90.00 90.00°
Fractional positions:
Re 0.0000 0.0000 0.0000
Bi 0.0000 0.0000 0.5000
Bi 0.0000 0.5000 0.0000
Bi 0.5000 0.0000 0.0000
Cl 0.5000 0.5000 0.5000

---

(4)
Compound: LiLaMg2H
Source: the Alexandria database
Functional: PBE-GGA
Structure: optimized geometry

Output
The value obtained for the electronic total energy is -0.10104 Ha/atom.

Cell: 4.8580 4.8580 4.6581 Å, 90.00 90.00 90.00°
Fractional positions:
Li 0.0000 0.0000 0.0000
La 0.5000 0.5000 0.0000
Mg 0.0000 0.5000 0.5000
Mg 0.5000 0.0000 0.5000
H 0.5000 0.5000 0.5000

---

(5)
Compound: Ag2SbCl
Source: the Alexandria database
Functional: PBE-GGA
Structure: optimized geometry

Output
For the distance to the lowest polymorph of the same formula, the calculation gives 85 meV/atom. The value obtained for the formation energy from raw total energies is -0.055 eV per atom.

Cell: 3.4951 3.4951 8.2830 Å, 90.00 90.00 115.87°
Fractional positions:
Ag 0.0000 0.0000 0.2400
Ag 0.0000 0.0000 0.7600
Sb 0.5000 0.5000 0.5000
Cl 0.5000 0.5000 0.0000

---

(6)
Compound: AlSb2Mo
Source: the Alexandria database
Functional: PBE-GGA
Structure: optimized geometry

Output
The value obtained for the formation energy from raw total energies is 0.317 eV per atom.

Cell: 5.0051 5.0051 5.2087 Å, 96.15 96.15 38.87°
Fractional positions:
Al 0.0000 0.0000 0.0000
Sb 0.2261 0.2261 0.7338
Sb 0.7739 0.7739 0.2662
Mo 0.5000 0.5000 0.5000

---

(7)
Compound: Pa3In
Source: the Alexandria database
Functional: PBE-GGA
Structure: optimized geometry

Output
For the distance to the lowest polymorph of the same formula, the calculation gives 51 meV/atom. The calculation puts the formation energy at 0.02 eV per atom.

Cell: 5.6803 5.6803 5.6803 Å, 132.00 132.00 70.23°
Fractional positions:
Pa 0.0000 0.0000 0.0000
Pa 0.2500 0.7500 0.5000
Pa 0.7500 0.2500 0.5000
In 0.5000 0.5000 0.0000

---

(8)
Compound: Ca2TaVN
Source: the Alexandria database
Functional: PBE-GGA
Structure: optimized geometry

Output
The value obtained for the formation energy from raw total energies is 1.805 eV per atom.

Cell: 5.6450 5.6450 4.4592 Å, 90.00 90.00 90.00°
Fractional positions:
Ca 0.0000 0.5000 0.0000
Ca 0.5000 0.0000 0.0000
Ta 0.0000 0.0000 0.5000
V 0.0000 0.0000 0.0000
N 0.5000 0.5000 0.5000

---

no.,total moment (μB/cell)
1,0.0
2,0.0
3,0.0
4,0.0
5,0.0
6,0.0
7,0.0
8,2.3